No. 1
GGA-PBE MgBeBi2, optimized geometry; polymorph energy (0 for the lowest one) = 0.000 eV/atom; space-group type = No. 122
1.0
-3.314 3.314 5.452
3.314 -3.314 5.452
3.314 3.314 -5.452
Mg Be Bi
2 2 4
direct
0.000 0.000 0.000 Mg
0.750 0.250 0.500 Mg
0.250 0.750 0.500 Be
0.500 0.500 0.000 Be
0.182 0.625 0.057 Bi
0.375 0.432 0.557 Bi
0.568 0.125 0.943 Bi
0.875 0.818 0.443 Bi

***

No. 2
GGA-PBE Ac3Tl3Ag, optimized geometry; polymorph energy (0 for the lowest one) = 0.000 eV/atom; space-group type = No. 12
1.0
6.040 -2.494 0.000
6.040 2.494 0.000
-5.725 0.000 15.667
Ac Tl Ag
6 6 2
direct
0.047 0.047 0.388 Ac
0.099 0.099 0.922 Ac
0.240 0.240 0.232 Ac
0.760 0.760 0.768 Ac
0.901 0.901 0.078 Ac
0.953 0.953 0.612 Ac
0.364 0.364 0.456 Tl
0.381 0.381 0.923 Tl
0.476 0.476 0.767 Tl
0.524 0.524 0.233 Tl
0.619 0.619 0.077 Tl
0.636 0.636 0.544 Tl
0.253 0.253 0.614 Ag
0.747 0.747 0.386 Ag

***

No. 3
GGA-PBE Rb2Si2Pb, optimized geometry; space-group type = No. 127; formation energy without anion corrections = 0.18 eV/atom
1.0
7.481 0.000 0.000
0.000 7.481 0.000
0.000 0.000 5.881
Rb Si Pb
4 4 2
direct
0.191 0.309 0.000 Rb
0.309 0.809 0.000 Rb
0.691 0.191 0.000 Rb
0.809 0.691 0.000 Rb
0.107 0.607 0.500 Si
0.393 0.107 0.500 Si
0.607 0.893 0.500 Si
0.893 0.393 0.500 Si
0.000 0.000 0.500 Pb
0.500 0.500 0.500 Pb

***

No. 4
GGA-PBE La8P3I4Cl, optimized geometry; space-group type = No. 166; formation energy without anion corrections = -1.41 eV/atom
1.0
4.268 2.464 7.832
-4.268 2.464 7.832
0.000 -4.928 7.832
La P I Cl
8 3 4 1
direct
0.226 0.734 0.734 La
0.232 0.232 0.232 La
0.266 0.266 0.774 La
0.266 0.774 0.266 La
0.734 0.226 0.734 La
0.734 0.734 0.226 La
0.768 0.768 0.768 La
0.774 0.266 0.266 La
0.000 0.000 0.500 P
0.000 0.500 0.000 P
0.500 0.000 0.000 P
0.000 0.000 0.000 I
0.000 0.500 0.500 I
0.500 0.000 0.500 I
0.500 0.500 0.000 I
0.500 0.500 0.500 Cl

***

No. 5
GGA-PBE ZnRePt, optimized geometry; polymorph energy (0 for the lowest one) = 0.035 eV/atom; space-group type = No. 156
1.0
2.780 0.000 0.000
-1.390 2.407 0.000
0.000 0.000 6.687
Zn Re Pt
1 1 1
direct
0.000 0.000 0.000 Zn
0.333 0.667 0.663 Re
0.667 0.333 0.331 Pt

***

No. 6
GGA-PBE AcTb3Rh8, optimized geometry; space-group type = No. 156; E_tot = -7.045 eV per atom
1.0
5.391 0.000 0.000
-2.695 4.669 0.000
0.000 0.000 8.874
Ac Tb Rh
1 3 8
direct
0.000 0.000 0.000 Ac
0.000 0.000 0.369 Tb
0.667 0.333 0.497 Tb
0.667 0.333 0.858 Tb
0.166 0.331 0.676 Rh
0.166 0.834 0.676 Rh
0.333 0.667 0.433 Rh
0.333 0.667 0.930 Rh
0.502 0.004 0.189 Rh
0.502 0.498 0.189 Rh
0.669 0.834 0.676 Rh
0.996 0.498 0.189 Rh

***

No. 7
GGA-PBE NpTlRhSe3, optimized geometry; space-group type = No. 11; formation energy without anion corrections = -0.70 eV/atom
1.0
9.023 0.000 0.000
0.000 4.093 0.000
-2.866 0.000 9.026
Np Tl Rh Se
2 2 2 6
direct
0.179 0.250 0.155 Np
0.821 0.750 0.845 Np
0.306 0.750 0.765 Tl
0.694 0.250 0.235 Tl
0.416 0.750 0.409 Rh
0.584 0.250 0.591 Rh
0.043 0.250 0.840 Se
0.295 0.250 0.467 Se
0.383 0.750 0.133 Se
0.617 0.250 0.867 Se
0.705 0.750 0.533 Se
0.957 0.750 0.160 Se

***

No. 8
GGA-PBE AgPtCl2, optimized geometry; polymorph energy (0 for the lowest one) = 0.713 eV/atom; space-group type = No. 216; formation energy without anion corrections = 0.59 eV/atom
1.0
0.000 3.344 3.344
3.344 0.000 3.344
3.344 3.344 0.000
Ag Pt Cl
1 1 2
direct
0.000 0.000 0.000 Ag
0.750 0.750 0.750 Pt
0.250 0.250 0.250 Cl
0.500 0.500 0.500 Cl

***

Computed values of total magnetic moment (unit: Bohr magnetons per cell) for the preceding records, in sequence: 0.0, 0.0, 0.0, 0.0, 0.0, 0.0, 6.7, 0.3.